#1
DFT (PBE) results for a geometry-optimized TmGaS3 structure.

Values from the calculation:
Space group   P2_1/m, No. 11
DOS(E_F)   0.00 states/eV/cell

Cell and atoms, written as POSCAR:
```
TmGaS3
1.0
3.8380 0.0000 0.0000
0.0000 6.3979 -0.6069
0.0000 -3.7544 11.3378
Tm Ga S
2 2 6
Direct
0.2500 0.1769 0.1603
0.7500 0.8231 0.8397
0.2500 0.1760 0.7359
0.7500 0.8240 0.2641
0.2500 0.1513 0.9284
0.7500 0.8487 0.0716
0.2500 0.0369 0.3500
0.7500 0.9631 0.6500
0.2500 0.5247 0.7358
0.7500 0.4753 0.2642
```



#2
DFT (PBE) results for a geometry-optimized TmGaS3 structure.

Values from the calculation:
Space group   Ama2, No. 40
DOS(E_F)   0.00 states/eV/cell

Cell and atoms, written as POSCAR:
```
TmGaS3
1.0
3.8466 0.0000 0.0000
0.0000 6.0854 -1.7477
0.0000 0.0498 11.6417
Tm Ga S
2 2 6
Direct
0.2500 0.0459 0.6473
0.7500 0.3985 0.3527
0.2500 0.7812 0.2536
0.7500 0.5275 0.7464
0.7500 0.8868 0.7546
0.7500 0.5910 0.1678
0.7500 0.2649 0.5579
0.2500 0.4233 0.8322
0.2500 0.1322 0.2454
0.2500 0.7070 0.4421
```



It is #2 that is most stable; the runner-up trails by 20 meV/atom.



#1
DFT (PBE) results for a geometry-optimized VGaS3 structure.

Values from the calculation:
Space group   Cmc2_1, No. 36
DOS(E_F)   5.42 states/eV/cell

Cell and atoms, written as POSCAR:
```
VGaS3
1.0
-2.7141 -2.3279 0.1360
3.2476 -3.5639 3.8113
-2.6322 6.2938 8.1282
V Ga S
2 2 6
Direct
0.8828 0.9402 0.7657
0.1172 0.4402 0.2343
0.3094 0.4503 0.6189
0.6906 0.9503 0.3811
0.8729 0.3138 0.7458
0.1271 0.8138 0.2542
0.5614 0.3492 0.1228
0.4386 0.8492 0.8772
0.7867 0.7406 0.5734
0.2133 0.2406 0.4266
```



#2
DFT (PBE) results for a geometry-optimized VGaS3 structure.

Values from the calculation:
Space group   Pm-3m, No. 221
DOS(E_F)   4.35 states/eV/cell

Cell and atoms, written as POSCAR:
```
VGaS3
1.0
4.6524 0.0000 0.0000
0.0000 4.6524 0.0000
0.0000 0.0000 4.6524
S Ga V
3 1 1
Direct
0.0000 0.5000 0.0000
0.0000 0.0000 0.5000
0.5000 0.0000 0.0000
0.0000 0.0000 0.0000
0.5000 0.5000 0.5000
```



#3
DFT (PBE) results for a geometry-optimized VGaS3 structure.

Values from the calculation:
Space group   Pm-3m, No. 221
DOS(E_F)   4.57 states/eV/cell

Cell and atoms, written as POSCAR:
```
VGaS3
1.0
4.6260 0.0000 0.0000
0.0000 4.6260 0.0000
0.0000 0.0000 4.6260
S Ga V
3 1 1
Direct
0.0000 0.5000 0.0000
0.0000 0.0000 0.5000
0.5000 0.0000 0.0000
0.5000 0.5000 0.5000
0.0000 0.0000 0.0000
```



It is #1 that is most stable; the runner-up trails by 302 meV/atom.